# InNi2O (PBE with a Hubbard U, optimized geometry)
# spin magnetization: 1.0 μB/f.u.
# density of states at the Fermi level: 3.758 states/eV per cell
# ρ: 6.24 g cm⁻³
# E above lowest polymorph: 0.00 kcal/mol of atoms
data_InNi2O
_chemical_formula_sum 'In4 Ni8 O4'
_space_group_name_H-M_alt 'I 41/a m d'
_space_group_IT_number 141
_cell_length_a 4.817
_cell_length_b 4.817
_cell_length_c 11.385
_cell_angle_alpha 90.00
_cell_angle_beta 90.00
_cell_angle_gamma 90.00
loop_
_space_group_symop_operation_xyz
'x,y,z'
'-x,-y,-z'
'-y+1/4,x+3/4,z+1/4'
'y+1/4,-x+3/4,-z+1/4'
'-x+1/2,-y,z+1/2'
'x+1/2,y,-z+1/2'
'y+1/4,-x+1/4,z+3/4'
'-y+1/4,x+1/4,-z+3/4'
'x,-y,-z'
'-x,y,z'
'-y+1/4,-x+1/4,-z+3/4'
'y+1/4,x+1/4,z+3/4'
'-x+1/2,y,-z+1/2'
'x+1/2,-y,z+1/2'
'y+1/4,x+3/4,-z+1/4'
'-y+1/4,-x+3/4,z+1/4'
'x+1/2,y+1/2,z+1/2'
'-x+1/2,-y+1/2,-z+1/2'
'-y+3/4,x+1/4,z+3/4'
'y+3/4,-x+1/4,-z+3/4'
'-x,-y+1/2,z'
'x,y+1/2,-z'
'y+3/4,-x+3/4,z+1/4'
'-y+3/4,x+3/4,-z+1/4'
'x+1/2,-y+1/2,-z+1/2'
'-x+1/2,y+1/2,z+1/2'
'-y+3/4,-x+3/4,-z+1/4'
'y+3/4,x+3/4,z+1/4'
'-x,y+1/2,-z'
'x,-y+1/2,z'
'y+3/4,x+1/4,-z+3/4'
'-y+3/4,-x+1/4,z+3/4'
loop_
_atom_site_label
_atom_site_type_symbol
_atom_site_fract_x
_atom_site_fract_y
_atom_site_fract_z
_atom_site_occupancy
In1 In 0.000 0.250 0.375 1
Ni1 Ni 0.000 0.000 0.000 1
O1 O 0.000 0.250 0.875 1